Entry 1:
Pr4Te2N PBE-GGA relaxed; total moment = 1.23 μB per formula unit; D(E_F) = 5.49 states/eV/f.u.; formation energy without anion corrections = -102.6 kJ per mole of atoms; V = 207.4 Å³ per cell; SG = C2/m, No. 12
1.0
8.034 -2.009 0.000
8.034 2.009 0.000
-3.138 0.000 6.426
Pr Te N
4 2 1
Direct
0.097 0.097 0.242 Pr
0.398 0.398 0.191 Pr
0.602 0.602 0.809 Pr
0.903 0.903 0.758 Pr
0.240 0.240 0.732 Te
0.760 0.760 0.268 Te
0.500 0.500 0.000 N


Entry 2:
Pr6TeN4 PBE-GGA relaxed; total moment = 0.63 μB per formula unit; D(E_F) = 3.34 states/eV/f.u.; formation energy without anion corrections = -115.6 kJ per mole of atoms; V = 472.1 Å³ per cell; SG = Cmcm, No. 63
1.0
1.916 -6.231 0.000
1.916 6.231 0.000
0.000 0.000 19.773
Pr Te N
12 2 8
Direct
0.000 0.000 0.000 Pr
0.000 0.000 0.500 Pr
0.136 0.864 0.750 Pr
0.277 0.723 0.076 Pr
0.277 0.723 0.424 Pr
0.461 0.539 0.644 Pr
0.461 0.539 0.856 Pr
0.539 0.461 0.144 Pr
0.539 0.461 0.356 Pr
0.723 0.277 0.576 Pr
0.723 0.277 0.924 Pr
0.864 0.136 0.250 Pr
0.163 0.837 0.250 Te
0.837 0.163 0.750 Te
0.083 0.917 0.622 N
0.083 0.917 0.878 N
0.358 0.642 0.538 N
0.358 0.642 0.962 N
0.642 0.358 0.038 N
0.642 0.358 0.462 N
0.917 0.083 0.122 N
0.917 0.083 0.378 N


Entry 3:
PrTeN PBE-GGA relaxed; total moment = 0.29 μB per formula unit; D(E_F) = 1.63 states/eV/f.u.; formation energy without anion corrections = -85.9 kJ per mole of atoms; V = 308.4 Å³ per cell; SG = Cmce, No. 64
1.0
3.742 -5.232 0.000
3.742 5.232 0.000
0.000 0.000 7.876
Pr Te N
4 4 4
Direct
0.145 0.355 0.250 Pr
0.355 0.145 0.750 Pr
0.645 0.855 0.250 Pr
0.855 0.645 0.750 Pr
0.156 0.844 0.402 Te
0.344 0.656 0.902 Te
0.656 0.344 0.098 Te
0.844 0.156 0.598 Te
0.034 0.966 0.938 N
0.466 0.534 0.438 N
0.534 0.466 0.562 N
0.966 0.034 0.062 N


Entry 4:
Pr3Te2N PBE-GGA relaxed; total moment = 0.00 μB per formula unit; D(E_F) = 2.66 states/eV/f.u.; formation energy without anion corrections = -122.5 kJ per mole of atoms; V = 164.5 Å³ per cell; SG = Immm, No. 71
1.0
-1.968 3.033 6.892
1.968 -3.033 6.892
1.968 3.033 -6.892
Pr Te N
3 2 1
Direct
0.000 0.000 0.000 Pr
0.379 0.379 0.000 Pr
0.621 0.621 0.000 Pr
0.182 0.682 0.500 Te
0.818 0.318 0.500 Te
0.500 0.000 0.500 N


Entry 5:
PrThTe2N PBE-GGA relaxed; total moment = 0.00 μB per formula unit; D(E_F) = 1.03 states/eV/f.u.; formation energy without anion corrections = -147.9 kJ per mole of atoms; V = 299.6 Å³ per cell; SG = P4/nmm, No. 129
1.0
4.260 0.000 0.000
0.000 4.260 0.000
0.000 0.000 16.514
Pr Th Te N
2 2 4 2
Direct
0.250 0.250 0.137 Pr
0.750 0.750 0.863 Pr
0.250 0.250 0.566 Th
0.750 0.750 0.434 Th
0.250 0.250 0.318 Te
0.250 0.250 0.919 Te
0.750 0.750 0.081 Te
0.750 0.750 0.682 Te
0.250 0.750 0.500 N
0.750 0.250 0.500 N


Entry 6:
Pr2ThTe2N2 PBE-GGA relaxed; total moment = 0.00 μB per formula unit; D(E_F) = 0.61 states/eV/f.u.; formation energy without anion corrections = -125.6 kJ per mole of atoms; V = 176.3 Å³ per cell; SG = I4/mmm, No. 139
1.0
-2.305 2.305 8.300
2.305 -2.305 8.300
2.305 2.305 -8.300
Pr Th Te N
2 1 2 2
Direct
0.108 0.108 0.000 Pr
0.892 0.892 0.000 Pr
0.500 0.500 0.000 Th
0.311 0.311 0.000 Te
0.689 0.689 0.000 Te
0.000 0.500 0.500 N
0.500 0.000 0.500 N


Entry 7:
PrThN PBE-GGA relaxed; total moment = 0.00 μB per formula unit; D(E_F) = 2.16 states/eV/f.u.; formation energy without anion corrections = -73.3 kJ per mole of atoms; V = 158.5 Å³ per cell; SG = P2_1/m, No. 11
1.0
3.979 0.000 0.000
0.000 5.192 0.000
-1.921 0.000 7.671
Pr Th N
2 2 2
Direct
0.161 0.250 0.334 Pr
0.839 0.750 0.666 Pr
0.428 0.250 0.849 Th
0.572 0.750 0.151 Th
0.432 0.750 0.859 N
0.568 0.250 0.141 N


Entry 8:
PrThN PBE-GGA relaxed; total moment = 0.86 μB per formula unit; D(E_F) = 3.52 states/eV/f.u.; formation energy without anion corrections = -78.4 kJ per mole of atoms; V = 73.9 Å³ per cell; SG = P3m1, No. 156
1.0
3.711 0.000 0.000
-1.855 3.214 0.000
0.000 0.000 6.198
Pr Th N
1 1 1
Direct
0.000 0.000 0.000 Pr
0.667 0.333 0.547 Th
0.333 0.667 0.741 N


Entry 9:
Pr4ThN5 PBE-GGA relaxed; total moment = 0.00 μB per formula unit; D(E_F) = 2.39 states/eV/f.u.; formation energy without anion corrections = -135.3 kJ per mole of atoms; V = 176.9 Å³ per cell; SG = I4/m, No. 87
1.0
-4.122 4.122 2.603
4.122 -4.122 2.603
4.122 4.122 -2.603
Pr Th N
4 1 5
Direct
0.101 0.699 0.799 Pr
0.301 0.101 0.402 Pr
0.699 0.899 0.598 Pr
0.899 0.301 0.201 Pr
0.500 0.500 0.000 Th
0.000 0.000 0.000 N
0.212 0.405 0.617 N
0.405 0.788 0.193 N
0.595 0.212 0.807 N
0.788 0.595 0.383 N


Entry 10:
PrThN2 PBE-GGA relaxed; total moment = 0.00 μB per formula unit; D(E_F) = 0.65 states/eV/f.u.; formation energy without anion corrections = -141.4 kJ per mole of atoms; V = 69.9 Å³ per cell; SG = P4/mmm, No. 123
1.0
3.676 0.000 0.000
0.000 3.676 0.000
0.000 0.000 5.171
Pr Th N
1 1 2
Direct
0.000 0.000 0.000 Pr
0.500 0.500 0.500 Th
0.000 0.000 0.500 N
0.500 0.500 0.000 N


Entry 11:
PrThN2 PBE-GGA relaxed; total moment = 0.10 μB per formula unit; D(E_F) = 2.43 states/eV/f.u.; formation energy without anion corrections = -124.2 kJ per mole of atoms; V = 71.1 Å³ per cell; SG = R3m, No. 160
1.0
1.815 1.048 6.229
-1.815 1.048 6.229
0.000 -2.095 6.229
Pr Th N
1 1 2
Direct
0.000 0.000 0.000 Pr
0.173 0.173 0.173 Th
0.582 0.582 0.582 N
0.765 0.765 0.765 N


Entry 12:
PrTh3N4 PBE-GGA relaxed; total moment = 0.00 μB per formula unit; D(E_F) = 2.88 states/eV/f.u.; formation energy without anion corrections = -146.3 kJ per mole of atoms; V = 139.1 Å³ per cell; SG = Pm-3m, No. 221
1.0
5.181 0.000 0.000
0.000 5.181 0.000
0.000 0.000 5.181
Pr Th N
1 3 4
Direct
0.000 0.000 0.000 Pr
0.000 0.500 0.500 Th
0.500 0.000 0.500 Th
0.500 0.500 0.000 Th
0.000 0.000 0.500 N
0.000 0.500 0.000 N
0.500 0.000 0.000 N
0.500 0.500 0.500 N


Entry 13:
Pr8ThN6 PBE-GGA relaxed; total moment = 1.46 μB per formula unit; D(E_F) = 10.28 states/eV/f.u.; formation energy without anion corrections = -103.1 kJ per mole of atoms; V = 333.1 Å³ per cell; SG = R-3, No. 148
1.0
3.198 1.846 9.404
-3.198 1.846 9.404
0.000 -3.693 9.404
Pr Th N
8 1 6
Direct
0.058 0.738 0.398 Pr
0.167 0.167 0.167 Pr
0.262 0.602 0.942 Pr
0.398 0.058 0.738 Pr
0.602 0.942 0.262 Pr
0.738 0.398 0.058 Pr
0.833 0.833 0.833 Pr
0.942 0.262 0.602 Pr
0.500 0.500 0.500 Th
0.125 0.445 0.766 N
0.234 0.875 0.555 N
0.445 0.766 0.125 N
0.555 0.234 0.875 N
0.766 0.125 0.445 N
0.875 0.555 0.234 N


Entry 14:
Pr3ThN4 PBE-GGA relaxed; total moment = 0.00 μB per formula unit; D(E_F) = 1.85 states/eV/f.u.; formation energy without anion corrections = -136.8 kJ per mole of atoms; V = 141.3 Å³ per cell; SG = Cmmm, No. 65
1.0
3.684 -5.200 0.000
3.684 5.200 0.000
0.000 0.000 3.687
Pr Th N
3 1 4
Direct
0.000 0.000 0.000 Pr
0.000 0.500 0.500 Pr
0.500 0.000 0.500 Pr
0.500 0.500 0.000 Th
0.258 0.742 0.000 N
0.262 0.262 0.500 N
0.738 0.738 0.500 N
0.742 0.258 0.000 N


Entry 15:
PrTh3N PBE-GGA relaxed; total moment = 0.00 μB per formula unit; D(E_F) = 5.41 states/eV/f.u.; formation energy without anion corrections = -56.8 kJ per mole of atoms; V = 133.5 Å³ per cell; SG = Pm-3m, No. 221
1.0
5.111 0.000 0.000
0.000 5.111 0.000
0.000 0.000 5.111
Pr Th N
1 3 1
Direct
0.000 0.000 0.000 Pr
0.000 0.500 0.500 Th
0.500 0.000 0.500 Th
0.500 0.500 0.000 Th
0.500 0.500 0.500 N


Entry 16:
Pr2ThN3 PBE-GGA relaxed; total moment = 0.00 μB per formula unit; D(E_F) = 2.08 states/eV/f.u.; formation energy without anion corrections = -107.5 kJ per mole of atoms; V = 213.7 Å³ per cell; SG = C2/m, No. 12
1.0
7.016 -1.809 0.000
7.016 1.809 0.000
-2.876 0.000 8.419
Pr Th N
4 2 6
Direct
0.169 0.169 0.334 Pr
0.330 0.330 0.163 Pr
0.670 0.670 0.837 Pr
0.831 0.831 0.666 Pr
0.000 0.000 0.500 Th
0.500 0.500 0.000 Th
0.024 0.024 0.810 N
0.312 0.312 0.863 N
0.373 0.373 0.471 N
0.627 0.627 0.529 N
0.688 0.688 0.137 N
0.976 0.976 0.190 N


Entry 17:
Pr5Th3N8 PBE-GGA relaxed; total moment = 0.00 μB per formula unit; D(E_F) = 2.43 states/eV/f.u.; formation energy without anion corrections = -141.2 kJ per mole of atoms; V = 281.9 Å³ per cell; SG = R-3m, No. 166
1.0
3.682 2.126 6.003
-3.682 2.126 6.003
0.000 -4.252 6.003
Pr Th N
5 3 8
Direct
0.000 0.000 0.000 Pr
0.000 0.500 0.500 Pr
0.500 0.000 0.500 Pr
0.500 0.500 0.000 Pr
0.500 0.500 0.500 Pr
0.000 0.000 0.500 Th
0.000 0.500 0.000 Th
0.500 0.000 0.000 Th
0.236 0.750 0.750 N
0.244 0.244 0.244 N
0.250 0.250 0.764 N
0.250 0.764 0.250 N
0.750 0.236 0.750 N
0.750 0.750 0.236 N
0.756 0.756 0.756 N
0.764 0.250 0.250 N


Entry 18:
PrTh5N6 PBE-GGA relaxed; total moment = 0.00 μB per formula unit; D(E_F) = 5.37 states/eV/f.u.; formation energy without anion corrections = -148.8 kJ per mole of atoms; V = 208.9 Å³ per cell; SG = C2/m, No. 12
1.0
3.174 -5.497 0.000
3.174 5.497 0.000
-2.112 0.000 5.986
Pr Th N
1 5 6
Direct
0.000 0.000 0.000 Pr
0.165 0.835 0.500 Th
0.333 0.667 0.000 Th
0.500 0.500 0.500 Th
0.667 0.333 0.000 Th
0.835 0.165 0.500 Th
0.086 0.430 0.257 N
0.260 0.260 0.745 N
0.430 0.086 0.257 N
0.570 0.914 0.743 N
0.740 0.740 0.255 N
0.914 0.570 0.743 N


Entry 19:
PrTh2N3 PBE-GGA relaxed; total moment = 0.00 μB per formula unit; D(E_F) = 2.73 states/eV/f.u.; formation energy without anion corrections = -146.7 kJ per mole of atoms; V = 420.1 Å³ per cell; SG = Fddd, No. 70
1.0
0.000 5.188 11.013
3.676 0.000 11.013
3.676 5.188 0.000
Pr Th N
4 8 12
Direct
0.042 0.042 0.208 Pr
0.208 0.208 0.042 Pr
0.792 0.792 0.958 Pr
0.958 0.958 0.792 Pr
0.124 0.124 0.626 Th
0.291 0.291 0.459 Th
0.374 0.374 0.876 Th
0.459 0.459 0.291 Th
0.541 0.541 0.709 Th
0.626 0.626 0.124 Th
0.709 0.709 0.541 Th
0.876 0.876 0.374 Th
0.045 0.545 0.221 N
0.142 0.608 0.608 N
0.221 0.689 0.045 N
0.311 0.779 0.455 N
0.392 0.858 0.858 N
0.455 0.955 0.311 N
0.545 0.045 0.689 N
0.608 0.142 0.142 N
0.689 0.221 0.545 N
0.779 0.311 0.955 N
0.858 0.392 0.392 N
0.955 0.455 0.779 N


Entry 20:
PrThN2 PBE-GGA relaxed; total moment = 0.00 μB per formula unit; D(E_F) = 1.70 states/eV/f.u.; formation energy without anion corrections = -142.1 kJ per mole of atoms; V = 140.7 Å³ per cell; SG = P6_3/mmc, No. 194
1.0
3.666 0.000 0.000
-1.833 3.175 0.000
0.000 0.000 12.083
Pr Th N
2 2 4
Direct
0.333 0.667 0.250 Pr
0.667 0.333 0.750 Pr
0.000 0.000 0.000 Th
0.000 0.000 0.500 Th
0.333 0.667 0.613 N
0.333 0.667 0.887 N
0.667 0.333 0.113 N
0.667 0.333 0.387 N


Entry 21:
Pr3Th2N4 PBE-GGA relaxed; total moment = 0.00 μB per formula unit; D(E_F) = 5.37 states/eV/f.u.; formation energy without anion corrections = -117.0 kJ per mole of atoms; V = 178.9 Å³ per cell; SG = C2/m, No. 12
1.0
6.132 -1.861 0.000
6.132 1.861 0.000
-4.615 0.000 7.840
Pr Th N
3 2 4
Direct
0.000 0.000 0.000 Pr
0.206 0.206 0.811 Pr
0.794 0.794 0.189 Pr
0.398 0.398 0.615 Th
0.602 0.602 0.385 Th
0.197 0.197 0.319 N
0.403 0.403 0.110 N
0.597 0.597 0.890 N
0.803 0.803 0.681 N


Entry 22:
Pr2ThN3 PBE-GGA relaxed; total moment = 0.00 μB per formula unit; D(E_F) = 1.64 states/eV/f.u.; formation energy without anion corrections = -139.7 kJ per mole of atoms; V = 105.8 Å³ per cell; SG = Immm, No. 71
1.0
-1.842 2.601 5.518
1.842 -2.601 5.518
1.842 2.601 -5.518
Pr Th N
2 1 3
Direct
0.167 0.167 0.000 Pr
0.833 0.833 0.000 Pr
0.500 0.500 0.000 Th
0.000 0.500 0.500 N
0.346 0.846 0.500 N
0.654 0.154 0.500 N